(1)
Material: KPrTe2O6
Method: DFT, PBE
State: relaxed

The structure in CIF format:
```
data_KPrTe2O6
_cell_length_a 7.099
_cell_length_b 7.099
_cell_length_c 7.935
_cell_angle_alpha 94.66
_cell_angle_beta 94.66
_cell_angle_gamma 106.98
_space_group_name_H-M_alt 'P 1'
_space_group_IT_number 1
loop_
_space_group_symop_operation_xyz
'x,y,z'
loop_
_atom_site_label
_atom_site_fract_x
_atom_site_fract_y
_atom_site_fract_z
K1 0.188 0.812 0.750
K2 0.812 0.188 0.250
Pr1 0.427 0.573 0.250
Pr2 0.573 0.427 0.750
Te1 0.082 0.311 0.865
Te2 0.311 0.082 0.365
Te3 0.689 0.918 0.635
Te4 0.918 0.689 0.135
O1 0.074 0.557 0.254
O2 0.209 0.216 0.691
O3 0.216 0.209 0.191
O4 0.315 0.530 0.939
O5 0.443 0.926 0.246
O6 0.470 0.685 0.561
O7 0.530 0.315 0.439
O8 0.557 0.074 0.754
O9 0.685 0.470 0.061
O10 0.784 0.791 0.809
O11 0.791 0.784 0.309
O12 0.926 0.443 0.746
```

***

(2)
Material: KPrTeO4
Method: DFT, PBE
State: relaxed

The structure in CIF format:
```
data_KPrTeO4
_cell_length_a 5.990
_cell_length_b 6.066
_cell_length_c 8.175
_cell_angle_alpha 90.00
_cell_angle_beta 110.18
_cell_angle_gamma 90.00
_space_group_name_H-M_alt 'P 1'
_space_group_IT_number 1
loop_
_space_group_symop_operation_xyz
'x,y,z'
loop_
_atom_site_label
_atom_site_fract_x
_atom_site_fract_y
_atom_site_fract_z
K1 0.059 0.250 0.147
K2 0.941 0.750 0.853
Pr1 0.186 0.750 0.465
Pr2 0.814 0.250 0.535
Te1 0.410 0.250 0.757
Te2 0.590 0.750 0.243
O1 0.166 0.008 0.683
O2 0.166 0.492 0.683
O3 0.230 0.750 0.187
O4 0.400 0.250 0.515
O5 0.600 0.750 0.485
O6 0.770 0.250 0.813
O7 0.834 0.508 0.317
O8 0.834 0.992 0.317
```

***

(3)
Material: KPrTi4O12
Method: DFT, PBE
State: relaxed

The structure in CIF format:
```
data_KPrTi4O12
_cell_length_a 5.490
_cell_length_b 5.490
_cell_length_c 7.878
_cell_angle_alpha 90.00
_cell_angle_beta 90.00
_cell_angle_gamma 90.00
_space_group_name_H-M_alt 'P 1'
_space_group_IT_number 1
loop_
_space_group_symop_operation_xyz
'x,y,z'
loop_
_atom_site_label
_atom_site_fract_x
_atom_site_fract_y
_atom_site_fract_z
K1 0.000 0.000 0.000
Pr1 0.500 0.500 0.500
Ti1 0.000 0.500 0.240
Ti2 0.000 0.500 0.760
Ti3 0.500 0.000 0.240
Ti4 0.500 0.000 0.760
O1 0.000 0.500 0.000
O2 0.000 0.500 0.500
O3 0.257 0.257 0.267
O4 0.257 0.257 0.733
O5 0.257 0.743 0.267
O6 0.257 0.743 0.733
O7 0.500 0.000 0.000
O8 0.500 0.000 0.500
O9 0.743 0.257 0.267
O10 0.743 0.257 0.733
O11 0.743 0.743 0.267
O12 0.743 0.743 0.733
```

***

no.,total energy (hartree per atom),ρ (Mg/m³)
1,-0.2207,4.66
2,-0.2248,4.43
3,-0.2879,3.94